Entry from Alexandria via LeMat-Bulk: a relaxed NaFe3Te crystal (PBE).

abc: 4.815 4.815 4.815
angles: 90.00 90.00 90.00
Fractional coordinates of all 5 atoms:
Na: 0.000 0.000 0.000
Fe: 0.000 0.500 0.500
Fe: 0.500 0.000 0.500
Fe: 0.500 0.500 0.000
Te: 0.500 0.500 0.500

Summary:
ΔE_f (raw): 0.992 eV/atom
Fermi-level density of states: 5.714 states/eV/f.u.
Space-group type: No. 221
Total DFT energy (no corrections): -4.98 eV/atom